w) {
  "formula": "Ga2Sn2Hg",
  "functional": "PBE",
  "state": "relaxed",
  "lattice": [[-2.410, 2.410, 5.797], [2.410, -2.410, 5.797], [2.410, 2.410, -5.797]],
  "species": ["Ga", "Ga", "Sn", "Sn", "Hg"],
  "frac_coords": [[0.250, 0.750, 0.500], [0.750, 0.250, 0.500], [0.123, 0.123, 0.000], [0.877, 0.877, 0.000], [0.500, 0.500, 0.000]],
  "spacegroup": "I4/mmm (139)",
  "dos_ef_per_ev_fu": 1.70
}

***

x) {
  "formula": "Ga2Sn2Hg",
  "functional": "PBE",
  "state": "relaxed",
  "lattice": [[-2.395, 2.395, 5.700], [2.395, -2.395, 5.700], [2.395, 2.395, -5.700]],
  "species": ["Ga", "Ga", "Sn", "Sn", "Hg"],
  "frac_coords": [[0.109, 0.109, 0.000], [0.891, 0.891, 0.000], [0.250, 0.750, 0.500], [0.750, 0.250, 0.500], [0.500, 0.500, 0.000]],
  "spacegroup": "I4/mmm (139)",
  "dos_ef_per_ev_fu": 1.83
}

***

y) {
  "formula": "Ga2Sn2Hg",
  "functional": "PBE",
  "state": "relaxed",
  "lattice": [[8.052, 0.000, 0.000], [0.000, 8.052, 0.000], [0.000, 0.000, 3.724]],
  "species": ["Ga", "Ga", "Ga", "Ga", "Sn", "Sn", "Sn", "Sn", "Hg", "Hg"],
  "frac_coords": [[0.129, 0.371, 0.000], [0.371, 0.871, 0.000], [0.629, 0.129, 0.000], [0.871, 0.629, 0.000], [0.169, 0.669, 0.500], [0.331, 0.169, 0.500], [0.669, 0.831, 0.500], [0.831, 0.331, 0.500], [0.000, 0.000, 0.000], [0.500, 0.500, 0.000]],
  "spacegroup": "P4/mbm (127)",
  "dos_ef_per_ev_fu": 3.19
}

***

Most stable structure - x); separation to the second - 0.015 eV/atom.

***

w) {
  "formula": "Ga2Sn2Hg",
  "functional": "PBE",
  "state": "relaxed",
  "lattice": [[8.593, 0.000, 0.000], [0.000, 8.593, 0.000], [0.000, 0.000, 3.339]],
  "species": ["Ga", "Ga", "Ga", "Ga", "Sn", "Sn", "Sn", "Sn", "Hg", "Hg"],
  "frac_coords": [[0.139, 0.361, 0.000], [0.361, 0.861, 0.000], [0.639, 0.139, 0.000], [0.861, 0.639, 0.000], [0.158, 0.658, 0.500], [0.342, 0.158, 0.500], [0.658, 0.842, 0.500], [0.842, 0.342, 0.500], [0.000, 0.000, 0.500], [0.500, 0.500, 0.500]],
  "spacegroup": "P4/mbm (127)",
  "dos_ef_per_ev_fu": 2.87
}

***

x) {
  "formula": "Ga2Sn2Hg",
  "functional": "PBE",
  "state": "relaxed",
  "lattice": [[3.165, -4.098, 0.000], [3.165, 4.098, 0.000], [-2.670, 0.000, 4.955]],
  "species": ["Ga", "Ga", "Sn", "Sn", "Hg"],
  "frac_coords": [[0.043, 0.043, 0.248], [0.957, 0.957, 0.752], [0.298, 0.702, 0.500], [0.702, 0.298, 0.500], [0.500, 0.500, 0.000]],
  "spacegroup": "C2/m (12)",
  "dos_ef_per_ev_fu": 1.50
}

***

Most stable structure - w); separation to the second - 0.017 eV/atom.

***

w) {
  "formula": "GaSnHg3",
  "functional": "PBE",
  "state": "relaxed",
  "lattice": [[5.671, 0.000, 0.000], [0.000, 5.671, 0.000], [0.000, 0.000, 5.671]],
  "species": ["Ga", "Sn", "Hg", "Hg", "Hg"],
  "frac_coords": [[0.000, 0.000, 0.000], [0.500, 0.500, 0.500], [0.000, 0.500, 0.500], [0.500, 0.000, 0.500], [0.500, 0.500, 0.000]],
  "spacegroup": "Pm-3m (221)",
  "dos_ef_per_ev_fu": 3.65
}

***

x) {
  "formula": "GaSnHg3",
  "functional": "PBE",
  "state": "relaxed",
  "lattice": [[6.581, 0.000, 0.000], [0.097, 6.723, 0.000], [2.802, 2.009, 6.101]],
  "species": ["Ga", "Ga", "Sn", "Sn", "Hg", "Hg", "Hg", "Hg", "Hg", "Hg"],
  "frac_coords": [[0.000, 0.000, 0.000], [0.367, 0.721, 0.789], [0.002, 0.565, 0.213], [0.301, 0.238, 0.075], [0.175, 0.625, 0.525], [0.198, 0.109, 0.549], [0.578, 0.371, 0.584], [0.586, 0.844, 0.029], [0.768, 0.396, 0.986], [0.775, 0.957, 0.469]],
  "spacegroup": "P1 (1)",
  "dos_ef_per_ev_fu": 1.54
}

***

Most stable structure - x); separation to the second - 0.295 eV/atom.

***

w) {
  "formula": "Ga3SnHg",
  "functional": "PBE",
  "state": "relaxed",
  "lattice": [[6.056, 0.000, 0.000], [2.221, 5.753, 0.000], [0.315, 0.492, 6.556]],
  "species": ["Ga", "Ga", "Ga", "Ga", "Ga", "Ga", "Sn", "Sn", "Hg", "Hg"],
  "frac_coords": [[0.038, 0.101, 0.312], [0.235, 0.473, 0.535], [0.451, 0.626, 0.811], [0.549, 0.374, 0.189], [0.765, 0.527, 0.465], [0.962, 0.899, 0.688], [0.045, 0.686, 0.124], [0.955, 0.314, 0.876], [0.500, 0.000, 0.000], [0.500, 0.000, 0.500]],
  "spacegroup": "P-1 (2)",
  "dos_ef_per_ev_fu": 1.45
}

***

x) {
  "formula": "Ga3SnHg",
  "functional": "PBE",
  "state": "relaxed",
  "lattice": [[6.095, 0.000, 0.000], [0.000, 6.675, 0.000], [-0.663, 0.000, 11.426]],
  "species": ["Ga", "Ga", "Ga", "Ga", "Ga", "Ga", "Ga", "Ga", "Ga", "Ga", "Ga", "Ga", "Sn", "Sn", "Sn", "Sn", "Hg", "Hg", "Hg", "Hg"],
  "frac_coords": [[0.000, 0.213, 0.002], [0.000, 0.287, 0.502], [0.000, 0.713, 0.498], [0.000, 0.787, 0.998], [0.147, 0.002, 0.362], [0.147, 0.498, 0.862], [0.278, 0.505, 0.654], [0.278, 0.995, 0.154], [0.722, 0.005, 0.846], [0.722, 0.495, 0.346], [0.853, 0.502, 0.138], [0.853, 0.998, 0.638], [0.499, 0.235, 0.501], [0.499, 0.265, 0.001], [0.501, 0.735, 0.999], [0.501, 0.765, 0.499], [0.274, 0.501, 0.253], [0.274, 0.999, 0.753], [0.726, 0.001, 0.247], [0.726, 0.499, 0.747]],
  "spacegroup": "P2_1/c (14)",
  "dos_ef_per_ev_fu": 1.34
}

***

y) {
  "formula": "Ga3SnHg",
  "functional": "PBE",
  "state": "relaxed",
  "lattice": [[5.200, 0.000, 0.000], [0.000, 5.200, 0.000], [0.000, 0.000, 5.200]],
  "species": ["Ga", "Ga", "Ga", "Sn", "Hg"],
  "frac_coords": [[0.000, 0.000, 0.500], [0.000, 0.500, 0.000], [0.500, 0.000, 0.000], [0.500, 0.500, 0.500], [0.000, 0.000, 0.000]],
  "spacegroup": "Pm-3m (221)",
  "dos_ef_per_ev_fu": 5.18
}

***

Most stable structure - x); separation to the second - 0.008 eV/atom.

***

w) {
  "formula": "TbGaSnHg",
  "functional": "PBE",
  "state": "relaxed",
  "lattice": [[0.000, 3.647, 3.647], [3.647, 0.000, 3.647], [3.647, 3.647, 0.000]],
  "species": ["Tb", "Ga", "Sn", "Hg"],
  "frac_coords": [[0.000, 0.000, 0.000], [0.250, 0.250, 0.250], [0.500, 0.500, 0.500], [0.750, 0.750, 0.750]],
  "spacegroup": "F-43m (216)",
  "dos_ef_per_ev_fu": 2.27
}

***

x) {
  "formula": "TbGaSnHg",
  "functional": "PBE",
  "state": "relaxed",
  "lattice": [[4.445, 0.000, 0.000], [0.000, 4.559, 0.000], [0.000, 0.000, 4.602]],
  "species": ["Tb", "Ga", "Sn", "Hg"],
  "frac_coords": [[0.000, 0.000, 0.000], [0.500, 0.500, 0.000], [0.500, 0.000, 0.500], [0.000, 0.500, 0.500]],
  "spacegroup": "Pmmm (47)",
  "dos_ef_per_ev_fu": 1.49
}

***

Most stable structure - x); separation to the second - 0.196 eV/atom.

***

w) {
  "formula": "Sr2GaHg2",
  "functional": "PBE",
  "state": "relaxed",
  "lattice": [[5.937, -2.372, 0.000], [5.937, 2.372, 0.000], [-5.409, 0.000, 10.665]],
  "species": ["Sr", "Sr", "Sr", "Sr", "Ga", "Ga", "Hg", "Hg", "Hg", "Hg"],
  "frac_coords": [[0.018, 0.018, 0.345], [0.191, 0.191, 0.111], [0.809, 0.809, 0.889], [0.982, 0.982, 0.655], [0.278, 0.278, 0.655], [0.722, 0.722, 0.345], [0.351, 0.351, 0.432], [0.480, 0.480, 0.120], [0.520, 0.520, 0.880], [0.649, 0.649, 0.568]],
  "spacegroup": "C2/m (12)",
  "dos_ef_per_ev_fu": 3.31
}

***

x) {
  "formula": "Sr2GaHg2",
  "functional": "PBE",
  "state": "relaxed",
  "lattice": [[8.987, 0.000, 0.000], [0.000, 8.987, 0.000], [0.000, 0.000, 4.096]],
  "species": ["Sr", "Sr", "Sr", "Sr", "Ga", "Ga", "Hg", "Hg", "Hg", "Hg"],
  "frac_coords": [[0.164, 0.336, 0.000], [0.336, 0.836, 0.000], [0.664, 0.164, 0.000], [0.836, 0.664, 0.000], [0.000, 0.000, 0.000], [0.500, 0.500, 0.000], [0.133, 0.633, 0.500], [0.367, 0.133, 0.500], [0.633, 0.867, 0.500], [0.867, 0.367, 0.500]],
  "spacegroup": "P4/mbm (127)",
  "dos_ef_per_ev_fu": 3.70
}

***

y) {
  "formula": "Sr2GaHg2",
  "functional": "PBE",
  "state": "relaxed",
  "lattice": [[-3.188, 3.188, 4.223], [3.188, -3.188, 4.223], [3.188, 3.188, -4.223]],
  "species": ["Sr", "Sr", "Ga", "Hg", "Hg"],
  "frac_coords": [[0.250, 0.750, 0.500], [0.750, 0.250, 0.500], [0.000, 0.000, 0.000], [0.333, 0.333, 0.000], [0.667, 0.667, 0.000]],
  "spacegroup": "I4/mmm (139)",
  "dos_ef_per_ev_fu": 2.37
}

***

z) {
  "formula": "Sr2GaHg2",
  "functional": "PBE",
  "state": "relaxed",
  "lattice": [[8.289, 0.000, 0.000], [0.000, 8.289, 0.000], [0.000, 0.000, 4.523]],
  "species": ["Sr", "Sr", "Sr", "Sr", "Ga", "Ga", "Hg", "Hg", "Hg", "Hg"],
  "frac_coords": [[0.176, 0.324, 0.000], [0.324, 0.824, 0.000], [0.676, 0.176, 0.000], [0.824, 0.676, 0.000], [0.000, 0.000, 0.500], [0.500, 0.500, 0.500], [0.128, 0.628, 0.500], [0.372, 0.128, 0.500], [0.628, 0.872, 0.500], [0.872, 0.372, 0.500]],
  "spacegroup": "P4/mbm (127)",
  "dos_ef_per_ev_fu": 4.29
}

***

Most stable structure - w); separation to the second - 0.103 eV/atom.

***

w) {
  "formula": "Sr2Ga3Hg",
  "functional": "PBE",
  "state": "relaxed",
  "lattice": [[0.000, 4.692, 8.105], [4.175, 0.000, 8.105], [4.175, 4.692, 0.000]],
  "species": ["Sr", "Sr", "Sr", "Sr", "Ga", "Ga", "Ga", "Ga", "Ga", "Ga", "Hg", "Hg"],
  "frac_coords": [[0.238, 0.762, 0.762], [0.250, 0.250, 0.250], [0.750, 0.750, 0.750], [0.762, 0.238, 0.238], [0.180, 0.658, 0.342], [0.339, 0.339, 0.661], [0.342, 0.820, 0.180], [0.658, 0.180, 0.820], [0.661, 0.661, 0.339], [0.820, 0.342, 0.658], [0.168, 0.168, 0.832], [0.832, 0.832, 0.168]],
  "spacegroup": "Fmmm (69)",
  "dos_ef_per_ev_fu": 2.01
}

***

x) {
  "formula": "Sr2Ga3Hg",
  "functional": "PBE",
  "state": "relaxed",
  "lattice": [[4.354, 0.000, 0.000], [0.000, 4.594, 0.000], [0.000, 0.000, 8.055]],
  "species": ["Sr", "Sr", "Ga", "Ga", "Ga", "Hg"],
  "frac_coords": [[0.000, 0.000, 0.000], [0.000, 0.500, 0.492], [0.500, 0.000, 0.331], [0.500, 0.000, 0.651], [0.500, 0.500, 0.170], [0.500, 0.500, 0.829]],
  "spacegroup": "Pmm2 (25)",
  "dos_ef_per_ev_fu": 3.07
}

***

Most stable structure - w); separation to the second - 0.013 eV/atom.

***

w) {
  "formula": "TaGaHg3",
  "functional": "PBE",
  "state": "relaxed",
  "lattice": [[4.995, 0.000, 0.000], [0.000, 4.995, 0.000], [0.000, 0.000, 4.995]],
  "species": ["Ta", "Ga", "Hg", "Hg", "Hg"],
  "frac_coords": [[0.000, 0.000, 0.000], [0.500, 0.500, 0.500], [0.000, 0.500, 0.500], [0.500, 0.000, 0.500], [0.500, 0.500, 0.000]],
  "spacegroup": "Pm-3m (221)",
  "dos_ef_per_ev_fu": 5.64
}

***

x) {
  "formula": "TaGaHg3",
  "functional": "PBE",
  "state": "relaxed",
  "lattice": [[5.434, 0.000, 0.000], [0.000, 5.434, 0.000], [0.000, 0.000, 5.434]],
  "species": ["Ta", "Ga", "Hg", "Hg", "Hg"],
  "frac_coords": [[0.000, 0.000, 0.000], [0.500, 0.500, 0.500], [0.000, 0.000, 0.500], [0.000, 0.500, 0.000], [0.500, 0.000, 0.000]],
  "spacegroup": "Pm-3m (221)",
  "dos_ef_per_ev_fu": 6.98
}

***

Most stable structure - x); separation to the second - 0.336 eV/atom.

***

w) {
  "formula": "Ta2GaHg2",
  "functional": "PBE",
  "state": "relaxed",
  "lattice": [[8.524, 0.000, 0.000], [0.000, 8.524, 0.000], [0.000, 0.000, 2.935]],
  "species": ["Ta", "Ta", "Ta", "Ta", "Ga", "Ga", "Hg", "Hg", "Hg", "Hg"],
  "frac_coords": [[0.112, 0.388, 0.000], [0.388, 0.888, 0.000], [0.612, 0.112, 0.000], [0.888, 0.612, 0.000], [0.000, 0.000, 0.500], [0.500, 0.500, 0.500], [0.183, 0.683, 0.500], [0.317, 0.183, 0.500], [0.683, 0.817, 0.500], [0.817, 0.317, 0.500]],
  "spacegroup": "P4/mbm (127)",
  "dos_ef_per_ev_fu": 5.16
}

***

x) {
  "formula": "Ta2GaHg2",
  "functional": "PBE",
  "state": "relaxed",
  "lattice": [[-1.905, 1.905, 7.530], [1.905, -1.905, 7.530], [1.905, 1.905, -7.530]],
  "species": ["Ta", "Ta", "Ga", "Hg", "Hg"],
  "frac_coords": [[0.250, 0.750, 0.500], [0.750, 0.250, 0.500], [0.000, 0.000, 0.000], [0.404, 0.404, 0.000], [0.596, 0.596, 0.000]],
  "spacegroup": "I4/mmm (139)",
  "dos_ef_per_ev_fu": 4.49
}

***

Most stable structure - x); separation to the second - 0.030 eV/atom.

***

w) {
  "formula": "Tb2GaHg2",
  "functional": "PBE",
  "state": "relaxed",
  "lattice": [[5.315, -2.002, 0.000], [5.315, 2.002, 0.000], [-0.327, 0.000, 6.184]],
  "species": ["Tb", "Tb", "Ga", "Hg", "Hg"],
  "frac_coords": [[0.189, 0.189, 0.218], [0.811, 0.811, 0.782], [0.500, 0.500, 0.000], [0.096, 0.096, 0.687], [0.904, 0.904, 0.313]],
  "spacegroup": "C2/m (12)",
  "dos_ef_per_ev_fu": 3.79
}

***

x) {
  "formula": "Tb2GaHg2",
  "functional": "PBE",
  "state": "relaxed",
  "lattice": [[5.589, -2.200, 0.000], [5.589, 2.200, 0.000], [-4.839, 0.000, 10.005]],
  "species": ["Tb", "Tb", "Tb", "Tb", "Ga", "Ga", "Hg", "Hg", "Hg", "Hg"],
  "frac_coords": [[0.005, 0.005, 0.333], [0.185, 0.185, 0.107], [0.815, 0.815, 0.893], [0.995, 0.995, 0.667], [0.287, 0.287, 0.681], [0.713, 0.713, 0.319], [0.349, 0.349, 0.446], [0.459, 0.459, 0.113], [0.541, 0.541, 0.887], [0.651, 0.651, 0.554]],
  "spacegroup": "C2/m (12)",
  "dos_ef_per_ev_fu": 3.41
}

***

Most stable structure - x); separation to the second - 0.126 eV/atom.